Rb4Nd3MoO8: optimized geometry, GGA+U.

- E_tot (eV/f.u.) = -101.2
- size of the total moment (μB per formula unit) = 3.0

Cell and atoms, written as CIF:
```
data_Rb4Nd3MoO8
_symmetry_space_group_name_H-M 'R -3 m'
_symmetry_Int_Tables_number 166
_symmetry_space_group_name_Hall '-R 3 2"'
_cell_length_a 7.1773
_cell_length_b 7.1773
_cell_length_c 19.7014
_cell_angle_alpha 90.00
_cell_angle_beta 90.00
_cell_angle_gamma 120.00
loop_
_atom_site_label
_atom_site_type_symbol
_atom_site_fract_x
_atom_site_fract_y
_atom_site_fract_z
Rb1 Rb 0.0000 0.0000 0.0000
Rb2 Rb 0.0000 0.5000 0.0000
Nd1 Nd 0.0000 0.5000 0.5000
Mo1 Mo 0.0000 0.0000 0.5000
O1 O 0.0000 0.0000 0.2275
O2 O 0.0153 0.5077 0.2260
```